GdDyHo4 | PBE | relaxed

Magnetization in μB/f.u.: 0.0
Calculated formation energy in meV per atom: 956

Unit cell a=6.1568 b=6.1568 c=5.8055 alpha=90.00 beta=90.00 gamma=90.36
Last column: nearest neighbours and their distance in Å.
Fractional positions:
Dy 0.5000 0.5000 0.0000  2 Ho 2.87
Gd 0.0000 0.0000 0.5000  2 Ho 2.85
Ho 0.8287 0.1713 0.0000  1 Dy 2.87, 1 Ho 2.99
Ho 0.1713 0.8287 0.0000  1 Dy 2.87, 1 Ho 2.99
Ho 0.3284 0.3284 0.5000  1 Gd 2.85, 1 Ho 2.98
Ho 0.6715 0.6715 0.5000  1 Gd 2.85, 1 Ho 2.98

Tb6CoTe2 | PBE | relaxed

Magnetization in μB/f.u.: 0.0
E_tot in eV/atom: -5.245

Unit cell a=8.4056 b=8.4056 c=3.9237 alpha=90.00 beta=90.00 gamma=120.00
Last column: nearest neighbours and their distance in Å.
Fractional positions:
Co 0.0000 0.0000 0.5000  6 Tb 2.79
Tb 0.2354 0.0000 0.0000  2 Co 2.79
Tb 0.0000 0.2354 0.0000  2 Co 2.79
Tb 0.7646 0.7646 0.0000  2 Co 2.79
Tb 0.5971 0.0000 0.5000  4 Te 3.23, 1 Co 3.39, 4 Tb 3.54
Tb 0.4029 0.4029 0.5000  4 Te 3.23, 1 Co 3.39, 4 Tb 3.54
Tb 0.0000 0.5971 0.5000  4 Te 3.23, 1 Co 3.39, 4 Tb 3.54
Te 0.6667 0.3333 0.0000  9 Tb 3.23-3.29
Te 0.3333 0.6667 0.0000  9 Tb 3.23-3.29

PrZnInSe3 | PBE | relaxed

Magnetization in μB/f.u.: 0.0
Polymorph energy (0 for the lowest one) in meV per atom: 67

Unit cell a=8.5535 b=4.4027 c=16.8111 alpha=90.00 beta=90.00 gamma=90.00
Last column: nearest neighbours and their distance in Å.
Fractional positions:
In 0.0739 0.7500 0.2168  5 Se 3.15-3.26, 2 Zn 3.53
In 0.5739 0.7500 0.2832  5 Se 3.15-3.26, 2 Zn 3.53
In 0.4261 0.2500 0.7168  5 Se 3.15-3.26, 2 Zn 3.53
In 0.9261 0.2500 0.7832  5 Se 3.15-3.26, 2 Zn 3.53
Pr 0.7540 0.2500 0.0477  7 Se 2.89-3.21
Pr 0.2540 0.2500 0.4523  7 Se 2.89-3.21
Pr 0.7460 0.7500 0.5477  7 Se 2.89-3.21
Pr 0.2460 0.7500 0.9523  7 Se 2.89-3.21
Se 0.1264 0.2500 0.0531  1 Zn 2.46
Se 0.4984 0.7500 0.0934  2 Zn 2.62
Se 0.8101 0.2500 0.2171  1 Zn 2.44
Se 0.3101 0.2500 0.2829  1 Zn 2.44
Se 0.9984 0.7500 0.4066  2 Zn 2.62
Se 0.6264 0.2500 0.4469  1 Zn 2.46
Se 0.3736 0.7500 0.5531  1 Zn 2.46
Se 0.0016 0.2500 0.5934  2 Zn 2.62
Se 0.6899 0.7500 0.7171  1 Zn 2.44
Se 0.1899 0.7500 0.7829  1 Zn 2.44
Se 0.5016 0.2500 0.9066  2 Zn 2.62
Se 0.8736 0.7500 0.9469  1 Zn 2.46
Zn 0.3586 0.2500 0.1398  4 Se 2.44-2.62
Zn 0.8586 0.2500 0.3602  4 Se 2.44-2.62
Zn 0.1414 0.7500 0.6398  4 Se 2.44-2.62
Zn 0.6414 0.7500 0.8602  4 Se 2.44-2.62

Tm2LuN3 | PBE | relaxed

Magnetization in μB/f.u.: 0.0
E_tot in eV/atom: -8.252

Unit cell a=3.3748 b=3.3748 c=8.2653 alpha=90.00 beta=90.00 gamma=120.00
Last column: nearest neighbours and their distance in Å.
Fractional positions:
Lu 0.0000 0.0000 0.5000  6 N 2.38
N 0.0000 0.0000 0.0000  6 Tm 2.39
N 0.3333 0.6667 0.3356  3 Lu 2.38, 3 Tm 2.39
N 0.6667 0.3333 0.6644  3 Lu 2.38, 3 Tm 2.39
Tm 0.6667 0.3333 0.1677  6 N 2.39
Tm 0.3333 0.6667 0.8323  6 N 2.39

NaIrAu3O4 | PBE | relaxed

Magnetization in μB/f.u.: 4.7
E_tot in eV/atom: -4.054

Unit cell a=5.3513 b=5.3513 c=5.3513 alpha=90.00 beta=90.00 gamma=90.00
Last column: nearest neighbours and their distance in Å.
Fractional positions:
Au 0.5000 0.0000 0.0000  4 O 2.31
Au 0.0000 0.5000 0.0000  4 O 2.31
Au 0.0000 0.0000 0.5000  4 O 2.31
Ir 0.0000 0.0000 0.0000  4 O 2.29
Na 0.5000 0.5000 0.5000  4 O 2.35
O 0.7531 0.2469 0.2469  1 Ir 2.29, 3 Au 2.31, 1 Na 2.35
O 0.2469 0.7531 0.2469  1 Ir 2.29, 3 Au 2.31, 1 Na 2.35
O 0.2469 0.2469 0.7531  1 Ir 2.29, 3 Au 2.31, 1 Na 2.35
O 0.7531 0.7531 0.7531  1 Ir 2.29, 3 Au 2.31, 1 Na 2.35

RbMgFeRe | PBE | relaxed

Magnetization in μB/f.u.: 2.9
Polymorph energy (0 for the lowest one) in meV per atom: 110

Unit cell a=4.6563 b=4.6563 c=4.6563 alpha=60.00 beta=60.00 gamma=60.00
Last column: nearest neighbours and their distance in Å.
Fractional positions:
Fe 0.0000 0.0000 0.0000  4 Mg 2.85, 4 Re 2.85
Mg 0.7500 0.7500 0.7500  4 Fe 2.85, 4 Rb 2.85
Rb 0.5000 0.5000 0.5000  4 Re 2.85, 4 Mg 2.85
Re 0.2500 0.2500 0.2500  4 Rb 2.85, 4 Fe 2.85

RbBiIr | PBE | relaxed

Magnetization in μB/f.u.: 0.0
Polymorph energy (0 for the lowest one) in meV per atom: 0

Unit cell a=4.9859 b=4.9859 c=4.9859 alpha=60.00 beta=60.00 gamma=60.00
Last column: nearest neighbours and their distance in Å.
Fractional positions:
Bi 0.2500 0.2500 0.2500  4 Ir 3.05
Ir 0.0000 0.0000 0.0000  4 Rb 3.05, 4 Bi 3.05
Rb 0.7500 0.7500 0.7500  4 Ir 3.05

MgNiAgGe | PBE | relaxed

Magnetization in μB/f.u.: 0.0
E_tot in eV/atom: -3.694

Unit cell a=4.4625 b=4.4625 c=4.4625 alpha=60.00 beta=60.00 gamma=60.00
Last column: nearest neighbours and their distance in Å.
Fractional positions:
Ag 0.5000 0.5000 0.5000  4 Mg 2.73, 4 Ni 2.73
Ge 0.0000 0.0000 0.0000  4 Mg 2.73, 4 Ni 2.73
Mg 0.2500 0.2500 0.2500  4 Ge 2.73, 4 Ag 2.73
Ni 0.7500 0.7500 0.7500  4 Ge 2.73, 4 Ag 2.73